1.
This record from Alexandria via LeMat-Bulk describes a crystal of BiHS2 relaxed with PBEsol. The functional is SCAN.

Summary:
* excess energy over the best structure of this formula in the dataset: 0 meV/atom

Structure (CIF):
```
data_BiHS2
_chemical_formula_sum 'Bi3 H3 S6'
_space_group_name_H-M_alt 'R -3 m'
_space_group_IT_number 166
_space_group_name_Hall '-R 3 2"'
_cell_length_a 4.1546
_cell_length_b 4.1546
_cell_length_c 18.5657
_cell_angle_alpha 90.00
_cell_angle_beta 90.00
_cell_angle_gamma 120.00
loop_
_atom_site_label
_atom_site_fract_x
_atom_site_fract_y
_atom_site_fract_z
Bi1 0.0000 0.0000 0.0000
H1 0.0000 0.0000 0.5000
S1 0.0000 0.0000 0.4125
```

---

2.
This record from Alexandria via LeMat-Bulk describes a crystal of Li2TiFeO4 relaxed with PBEsol. The functional is SCAN.

Summary:
* excess energy over the best structure of this formula in the dataset: 6 meV/atom
* formation energy from raw total energies: -236 kJ per mole of atoms

Structure (CIF):
```
data_Li2TiFeO4
_chemical_formula_sum 'Li2 Ti1 Fe1 O4'
_space_group_name_H-M_alt 'P 1 2/m 1'
_space_group_IT_number 10
_cell_length_a 4.697
_cell_length_b 2.907
_cell_length_c 5.124
_cell_angle_alpha 90.00
_cell_angle_beta 108.58
_cell_angle_gamma 90.00
loop_
_space_group_symop_operation_xyz
'x,y,z'
'-x,-y,-z'
'-x,y,-z'
'x,-y,z'
loop_
_atom_site_label
_atom_site_fract_x
_atom_site_fract_y
_atom_site_fract_z
Li1 0.000 0.000 0.000
Li2 0.500 0.500 0.000
Ti1 0.000 0.500 0.500
Fe1 0.500 0.000 0.500
O1 0.241 0.000 0.735
O2 0.268 0.500 0.269
```

---

3.
This record from Alexandria via LeMat-Bulk describes a crystal of YGaPdBr2 relaxed with PBEsol. The functional is SCAN.

Summary:
* formation energy from raw total energies: 20 kJ per mole of atoms

Structure (CIF):
```
data_YGaPdBr2
_chemical_formula_sum 'Y1 Ga1 Pd1 Br2'
_space_group_name_H-M_alt 'P 4/m m m'
_space_group_IT_number 123
_space_group_name_Hall '-P 4 2'
_cell_length_a 4.908
_cell_length_b 4.908
_cell_length_c 5.691
_cell_angle_alpha 90.00
_cell_angle_beta 90.00
_cell_angle_gamma 90.00
loop_
_atom_site_label
_atom_site_fract_x
_atom_site_fract_y
_atom_site_fract_z
Y1 0.000 0.000 0.000
Ga1 0.000 0.000 0.500
Pd1 0.500 0.500 0.000
Br1 0.000 0.500 0.500
```

---

no.,magnetization (μB per cell),volume (Å³/cell)
1,0.00,277.5
2,0.05,66.3
3,0.00,137.1